# 1
DFT (PBE-GGA) results for LiCe2Dy3Te6 after structural relaxation.

a = 9.840 Å, b = 9.840 Å, c = 8.849 Å
α = 103.43°, β = 103.43°, γ = 25.63°
Positions (direct):
Li 0.000 0.000 0.000
Ce 0.332 0.332 0.664
Ce 0.668 0.668 0.336
Dy 0.000 0.000 0.500
Dy 0.330 0.330 0.169
Dy 0.670 0.670 0.831
Te 0.162 0.162 0.072
Te 0.163 0.163 0.588
Te 0.497 0.497 0.244
Te 0.503 0.503 0.756
Te 0.837 0.837 0.412
Te 0.838 0.838 0.928

Raw formation energy in meV/atom: -1322
ρ in g/cm³: 7.106
E_tot in eV/atom: -5.19

=====

# 2
DFT (PBE-GGA) results for Pm2Sm8Th3 after structural relaxation.

a = 10.940 Å, b = 10.940 Å, c = 5.673 Å
α = 90.08°, β = 90.08°, γ = 42.42°
Positions (direct):
Pm 0.240 0.240 0.498
Pm 0.760 0.760 0.502
Sm 0.126 0.126 0.000
Sm 0.189 0.600 0.499
Sm 0.333 0.333 0.998
Sm 0.400 0.811 0.501
Sm 0.600 0.189 0.499
Sm 0.667 0.667 0.002
Sm 0.811 0.400 0.501
Sm 0.874 0.874 0.000
Th 0.000 0.000 0.500
Th 0.294 0.706 0.000
Th 0.706 0.294 0.000

Energy of formation in kJ per mole of atoms: 25.0
ρ in g/cm³: 7.936
E_tot in eV/atom: -5.09

=====

# 3
DFT (PBE-GGA) results for Mg2TeRh2 after structural relaxation.

a = 6.800 Å, b = 6.800 Å, c = 4.002 Å
α = 90.00°, β = 90.00°, γ = 90.00°
Positions (direct):
Mg 0.154 0.346 0.000
Mg 0.346 0.846 0.000
Mg 0.654 0.154 0.000
Mg 0.846 0.654 0.000
Te 0.000 0.000 0.500
Te 0.500 0.500 0.500
Rh 0.147 0.647 0.500
Rh 0.353 0.147 0.500
Rh 0.647 0.853 0.500
Rh 0.853 0.353 0.500

Raw formation energy in meV/atom: -377
ρ in g/cm³: 6.854
E_tot in eV/atom: -4.58

=====

# 4
DFT (PBE-GGA) results for Pr4NdSm after structural relaxation.

a = 6.766 Å, b = 6.766 Å, c = 6.766 Å
α = 60.00°, β = 60.00°, γ = 60.00°
Positions (direct):
Pr 0.125 0.125 0.125
Pr 0.125 0.125 0.626
Pr 0.125 0.626 0.125
Pr 0.626 0.125 0.125
Nd 0.500 0.500 0.500
Sm 0.750 0.750 0.750

Energy of formation in kJ per mole of atoms: 24.1
ρ in g/cm³: 6.507
E_tot in eV/atom: -4.52

=====

# 5
DFT (PBE-GGA) results for Y4CrMo after structural relaxation.

a = 6.171 Å, b = 6.171 Å, c = 6.171 Å
α = 60.00°, β = 60.00°, γ = 60.00°
Positions (direct):
Y 0.376 0.376 0.376
Y 0.376 0.376 0.871
Y 0.376 0.871 0.376
Y 0.871 0.376 0.376
Cr 0.000 0.000 0.000
Mo 0.750 0.750 0.750

Energy of formation in kJ per mole of atoms: 102.0
ρ in g/cm³: 5.032
E_tot in eV/atom: -6.66

=====

# 6
DFT (PBE-GGA) results for Tl6Se2SBr after structural relaxation.

a = 7.459 Å, b = 7.461 Å, c = 8.241 Å
α = 63.29°, β = 63.23°, γ = 60.12°
Positions (direct):
Tl 0.000 0.000 0.000
Tl 0.004 0.210 0.430
Tl 0.156 0.633 0.429
Tl 0.369 0.431 0.999
Tl 0.580 0.786 0.430
Tl 0.799 0.634 0.997
Se 0.362 0.992 0.085
Se 0.805 0.434 0.755
S 0.159 0.791 0.690
Br 0.587 0.219 0.407

Raw formation energy in meV/atom: -369
ρ in g/cm³: 7.313
E_tot in eV/atom: -3.07

=====

# 7
DFT (PBE-GGA) results for AcEuGaHg after structural relaxation.

a = 5.556 Å, b = 5.556 Å, c = 5.556 Å
α = 60.00°, β = 60.00°, γ = 60.00°
Positions (direct):
Ac 0.000 0.000 0.000
Eu 0.500 0.500 0.500
Ga 0.750 0.750 0.750
Hg 0.250 0.250 0.250

Energy of formation in kJ per mole of atoms: -47.0
ρ in g/cm³: 8.892
E_tot in eV/atom: -4.92

=====

# 8
DFT (PBE-GGA) results for La4Pm2SmEr after structural relaxation.

a = 5.224 Å, b = 5.259 Å, c = 10.213 Å
α = 90.00°, β = 90.04°, γ = 90.00°
Positions (direct):
La 0.000 0.000 0.248
La 0.000 0.000 0.752
La 0.500 0.500 0.248
La 0.500 0.500 0.752
Pm 0.000 0.500 0.000
Pm 0.500 0.000 0.500
Sm 0.000 0.500 0.500
Er 0.500 0.000 0.000

Energy of formation in kJ per mole of atoms: 1.5
ρ in g/cm³: 6.884
E_tot in eV/atom: -4.80

=====

# 9
DFT (PBE-GGA) results for BaLi2PH after structural relaxation.

a = 6.168 Å, b = 6.168 Å, c = 7.223 Å
α = 90.00°, β = 90.00°, γ = 139.27°
Positions (direct):
Ba 0.065 0.935 0.750
Ba 0.935 0.065 0.250
Li 0.329 0.671 0.565
Li 0.329 0.671 0.935
Li 0.671 0.329 0.065
Li 0.671 0.329 0.435
P 0.214 0.786 0.250
P 0.786 0.214 0.750
H 0.500 0.500 0.000
H 0.500 0.500 0.500

ρ in g/cm³: 3.394
E_tot in eV/atom: -3.64

=====

# 10
DFT (PBE-GGA) results for BiPbSO2 after structural relaxation.

a = 4.336 Å, b = 4.336 Å, c = 5.449 Å
α = 90.00°, β = 90.00°, γ = 90.00°
Positions (direct):
Bi 0.000 0.000 0.000
Pb 0.500 0.500 0.500
S 0.000 0.000 0.500
O 0.000 0.500 0.000
O 0.500 0.000 0.000

Raw formation energy in meV/atom: -567
ρ in g/cm³: 7.784
E_tot in eV/atom: -4.89

=====

# 11
DFT (PBE-GGA) results for Pm3Mg2Pt3 after structural relaxation.

a = 8.519 Å, b = 8.519 Å, c = 5.880 Å
α = 90.00°, β = 90.00°, γ = 120.00°
Positions (direct):
Pm 0.000 0.271 0.250
Pm 0.000 0.729 0.750
Pm 0.271 0.000 0.250
Pm 0.271 0.271 0.750
Pm 0.729 0.000 0.750
Pm 0.729 0.729 0.250
Mg 0.333 0.667 0.000
Mg 0.333 0.667 0.500
Mg 0.667 0.333 0.000
Mg 0.667 0.333 0.500
Pt 0.000 0.391 0.750
Pt 0.000 0.609 0.250
Pt 0.391 0.000 0.750
Pt 0.391 0.391 0.250
Pt 0.609 0.000 0.250
Pt 0.609 0.609 0.750

Energy of formation in kJ per mole of atoms: -90.3
ρ in g/cm³: 9.605
E_tot in eV/atom: -5.38

=====

Repeat the fifth record exactly.
DFT (PBE-GGA) results for Y4CrMo after structural relaxation.

a = 6.171 Å, b = 6.171 Å, c = 6.171 Å
α = 60.00°, β = 60.00°, γ = 60.00°
Positions (direct):
Y 0.376 0.376 0.376
Y 0.376 0.376 0.871
Y 0.376 0.871 0.376
Y 0.871 0.376 0.376
Cr 0.000 0.000 0.000
Mo 0.750 0.750 0.750

Energy of formation in kJ per mole of atoms: 102.0
ρ in g/cm³: 5.032
E_tot in eV/atom: -6.66